MgAg2Os | Alexandria via LeMat-Bulk | PBE | optimized geometry; energy = -3.85 eV/atom; N(E_F) = 6.1 states/eV/cell; symmetry = I-42d, No. 122; size of the total moment = 0.00 Bohr magnetons per cell; energy of formation from the pure elements = 0.784 eV/atom
1.0
-1.923 1.923 9.849
1.923 -1.923 9.849
1.923 1.923 -9.849
Mg Ag Os
2 4 2
direct
0.000 0.000 0.000
0.750 0.250 0.500
0.129 0.625 0.004
0.375 0.379 0.504
0.621 0.125 0.996
0.875 0.871 0.496
0.250 0.750 0.500
0.500 0.500 0.000

=====

SiRuPb | Alexandria via LeMat-Bulk | PBE | optimized geometry; energy = -6.00 eV/atom; N(E_F) = 2.0 states/eV/cell; symmetry = P3m1, No. 156; size of the total moment = 0.00 Bohr magnetons per cell; energy relative to the elements, uncorrected = 0.13 eV/atom
1.0
3.247 0.000 0.000
-1.623 2.812 0.000
0.000 0.000 6.254
Si Ru Pb
1 1 1
direct
0.000 0.000 0.000
0.333 0.667 0.765
0.667 0.333 0.405

=====

K3Ga8Sn3 | Alexandria via LeMat-Bulk | PBE | optimized geometry; energy = -2.93 eV/atom; N(E_F) = 4.9 states/eV/cell; symmetry = Immm, No. 71; size of the total moment = 0.00 Bohr magnetons per cell; energy of formation from the pure elements = -0.108 eV/atom
1.0
-2.318 5.313 7.108
2.318 -5.313 7.108
2.318 5.313 -7.108
K Ga Sn
3 8 3
direct
0.000 0.000 0.000
0.311 0.311 0.000
0.689 0.689 0.000
0.041 0.667 0.374
0.105 0.840 0.264
0.293 0.667 0.626
0.424 0.160 0.264
0.576 0.840 0.736
0.707 0.333 0.374
0.895 0.160 0.736
0.959 0.333 0.626
0.281 0.500 0.781
0.500 0.000 0.500
0.719 0.500 0.219

=====

AcNd2Rh9 | Alexandria via LeMat-Bulk | PBE | optimized geometry; energy = -7.15 eV/atom; N(E_F) = 13.7 states/eV/cell; symmetry = R-3m, No. 166; size of the total moment = 0.00 Bohr magnetons per cell; energy of formation from the pure elements = -0.496 eV/atom
1.0
2.687 1.551 8.881
-2.687 1.551 8.881
0.000 -3.102 8.881
Ac Nd Rh
1 2 9
direct
0.000 0.000 0.000
0.140 0.140 0.140
0.860 0.860 0.860
0.083 0.582 0.582
0.333 0.333 0.333
0.418 0.418 0.917
0.418 0.917 0.418
0.500 0.500 0.500
0.582 0.083 0.582
0.582 0.582 0.083
0.667 0.667 0.667
0.917 0.418 0.418

=====

SmGe2Pd5 | Alexandria via LeMat-Bulk | PBE | optimized geometry; energy = -5.65 eV/atom; N(E_F) = 3.8 states/eV/cell; symmetry = Immm, No. 71; size of the total moment = 0.00 Bohr magnetons per cell; energy of formation from the pure elements = -0.664 eV/atom
1.0
-1.960 3.638 4.947
1.960 -3.638 4.947
1.960 3.638 -4.947
Sm Ge Pd
1 2 5
direct
0.000 0.000 0.000
0.250 0.750 0.500
0.750 0.250 0.500
0.159 0.354 0.805
0.450 0.646 0.805
0.500 0.000 0.500
0.550 0.354 0.195
0.841 0.646 0.195

=====

ScPIO2 | Alexandria via LeMat-Bulk | PBE | optimized geometry; energy = -5.47 eV/atom; N(E_F) = 3.5 states/eV/cell; symmetry = P4/mmm, No. 123; size of the total moment = 0.97 Bohr magnetons per cell; energy relative to the elements, uncorrected = -0.82 eV/atom
1.0
4.030 0.000 0.000
0.000 4.030 0.000
0.000 0.000 6.491
Sc P I O
1 1 1 2
direct
0.000 0.000 0.000
0.500 0.500 0.500
0.000 0.000 0.500
0.000 0.500 0.000
0.500 0.000 0.000

=====

Sm5Te4Pt | Alexandria via LeMat-Bulk | PBE | optimized geometry; energy = -5.54 eV/atom; N(E_F) = 6.2 states/eV/cell; symmetry = I4/mmm, No. 139; size of the total moment = 0.00 Bohr magnetons per cell; energy relative to the elements, uncorrected = -1.32 eV/atom
1.0
-2.184 2.184 15.782
2.184 -2.184 15.782
2.184 2.184 -15.782
Sm Te Pt
5 4 1
direct
0.000 0.000 0.000
0.209 0.209 0.000
0.413 0.413 0.000
0.587 0.587 0.000
0.791 0.791 0.000
0.104 0.104 0.000
0.309 0.309 0.000
0.691 0.691 0.000
0.896 0.896 0.000
0.500 0.500 0.000

=====

Mg5CdI12 | Alexandria via LeMat-Bulk | PBE | optimized geometry; energy = -2.49 eV/atom; N(E_F) = 0.0 states/eV/cell; symmetry = C2/m, No. 12; size of the total moment = 0.00 Bohr magnetons per cell; energy relative to the elements, uncorrected = -0.96 eV/atom
1.0
3.654 -6.333 0.000
3.654 6.333 0.000
-0.014 0.000 15.539
Mg Cd I
5 1 12
direct
0.000 0.000 0.000
0.167 0.833 0.500
0.333 0.667 0.000
0.667 0.333 0.000
0.833 0.167 0.500
0.500 0.500 0.500
0.000 0.333 0.893
0.000 0.667 0.107
0.158 0.500 0.390
0.159 0.159 0.609
0.333 0.000 0.893
0.334 0.334 0.107
0.500 0.158 0.390
0.500 0.842 0.610
0.666 0.666 0.893
0.667 0.000 0.107
0.841 0.841 0.391
0.842 0.500 0.610

=====

Repeat the sixth record exactly.
ScPIO2 | Alexandria via LeMat-Bulk | PBE | optimized geometry; energy = -5.47 eV/atom; N(E_F) = 3.5 states/eV/cell; symmetry = P4/mmm, No. 123; size of the total moment = 0.97 Bohr magnetons per cell; energy relative to the elements, uncorrected = -0.82 eV/atom
1.0
4.030 0.000 0.000
0.000 4.030 0.000
0.000 0.000 6.491
Sc P I O
1 1 1 2
direct
0.000 0.000 0.000
0.500 0.500 0.500
0.000 0.000 0.500
0.000 0.500 0.000
0.500 0.000 0.000

=====

Look up the size of the total moment of the fifth one. 0.00 Bohr magnetons per cell